Record 1
# YMnInCo2 (PBE-GGA, relaxed)
data_YMnInCo2
_space_group_name_H-M_alt 'P 1'
_space_group_IT_number 1
_cell_length_a 4.7591
_cell_length_b 4.7591
_cell_length_c 5.5131
_cell_angle_alpha 90.00
_cell_angle_beta 90.00
_cell_angle_gamma 90.00
loop_
_space_group_symop_operation_xyz
'x,y,z'
loop_
_atom_site_label
_atom_site_fract_x
_atom_site_fract_y
_atom_site_fract_z
Y1 0.0000 0.0000 0.0000
Mn1 0.5000 0.5000 0.0000
In1 0.0000 0.0000 0.5000
Co1 0.0000 0.5000 0.5000
Co2 0.5000 0.0000 0.5000
# V in Å³/atom: 24.973
# Energy of formation from the pure elements in eV/atom: 1.328
# Spin magnetization in μB per cell: 7.20
# Symmetry: P4/mmm (123)

Record 2
# ZrMnInCo (PBE-GGA, relaxed)
data_ZrMnInCo
_space_group_name_H-M_alt 'P 1'
_space_group_IT_number 1
_cell_length_a 4.5570
_cell_length_b 4.5570
_cell_length_c 4.5570
_cell_angle_alpha 60.00
_cell_angle_beta 60.00
_cell_angle_gamma 60.00
loop_
_space_group_symop_operation_xyz
'x,y,z'
loop_
_atom_site_label
_atom_site_fract_x
_atom_site_fract_y
_atom_site_fract_z
Zr1 0.0000 0.0000 0.0000
Mn1 0.2500 0.2500 0.2500
In1 0.5000 0.5000 0.5000
Co1 0.7500 0.7500 0.7500
# V in Å³/atom: 16.729
# Energy of formation from the pure elements in eV/atom: -0.080
# Spin magnetization in μB per cell: 4.52
# Symmetry: F-43m (216)